DFT (GGA-PBE) results for an optimized crystal structure of Na5Ho4Si4O16F.

Summary:
Fermi-level density of states	0.0	states/eV/f.u.
total DFT energy (no corrections)	-0.265	Ha/atom
total moment	0.00	μB/f.u.
raw formation energy	-2942	meV/atom
calculated density	5.25	g/cm3

a b c (Å): 11.628 11.628 5.437
angles (deg): 90.00 90.00 90.00
Space group I-4 (No. 82)
One atom of each set of equivalent atoms:
Na  0.000  0.000  0.000 [2 per cell]
Na  0.090  0.605  0.510 [8 per cell]
Ho  0.115  0.182  0.524 [8 per cell]
Si  0.104  0.753  0.012 [8 per cell]
O  0.034  0.794  0.260 [8 per cell]
O  0.049  0.815  0.767 [8 per cell]
O  0.110  0.612  0.984 [8 per cell]
O  0.205  0.237  0.929 [8 per cell]
F  0.000  0.000  0.500 [2 per cell]